(1)
PBE ZrTa2Tc, optimized geometry; V = 18.2 Å³ per atom; space group = Cmm2, No. 35; M_tot = 0.00 μB/f.u.; formation enthalpy at 0 K = -6 kJ per mole of atoms; total energy = -42.86 eV/cell; relative energy among the computed polymorphs = 14.7 kJ/mol of atoms
1.0
2.927 0.015 0.000
-1.066 2.726 0.000
0.000 0.000 9.100
Ta Zr Tc
2 1 1
Direct
0.500 0.500 0.265
0.000 0.000 0.012
0.500 0.500 0.733
0.000 0.000 0.491

---

(2)
PBE BaRuW2, optimized geometry; V = 19.7 Å³ per atom; space group = Cmmm, No. 65; M_tot = 0.00 μB/f.u.; formation enthalpy at 0 K = 147 kJ per mole of atoms; total energy = -31.01 eV/cell; relative energy among the computed polymorphs = 77.9 kJ/mol of atoms
1.0
-1.784 -4.201 3.537
4.395 -0.487 -3.714
1.814 0.934 2.024
W Ba Ru
2 1 1
Direct
0.000 0.000 0.000
0.500 0.500 0.000
0.500 0.000 0.500
0.000 0.500 0.500

---

(3)
PBE Tb2Nd2YSc2, optimized geometry; V = 31.2 Å³ per atom; space group = C2/m, No. 12; M_tot = 0.00 μB/f.u.; formation enthalpy at 0 K = 15 kJ per mole of atoms; total energy = -36.85 eV/cell
1.0
3.416 0.000 0.000
-1.708 8.327 -0.523
0.000 -3.428 7.884
Nd Sc Y Tb
2 2 1 2
Direct
0.360 0.720 0.091
0.640 0.280 0.909
0.222 0.444 0.639
0.778 0.556 0.361
0.000 0.000 0.500
0.917 0.835 0.791
0.083 0.165 0.209

---

Among the records above, which one has the highest total energy? BaRuW2

---

Which of these has the highest total energy? BaRuW2